1.
The following is a DFT calculation (GGA-PBE) of a relaxed structure of MgIn4AgSe8.

```
data_MgIn4AgSe8
_space_group_name_H-M_alt 'P 1'
_space_group_IT_number 1
_space_group_name_Hall 'P 1'
_cell_length_a 8.1019
_cell_length_b 8.1019
_cell_length_c 8.0787
_cell_angle_alpha 59.91
_cell_angle_beta 59.91
_cell_angle_gamma 60.00
loop_
_atom_site_label
_atom_site_type_symbol
_atom_site_fract_x
_atom_site_fract_y
_atom_site_fract_z
Mg1 Mg 0.0034 0.0034 0.9897
In1 In 0.6205 0.6205 0.1385
In2 In 0.0047 0.4861 0.5045
In3 In 0.4861 0.0047 0.5045
In4 In 0.0047 0.0047 0.5045
Ag1 Ag 0.3810 0.3810 0.8570
Se1 Se 0.2394 0.7735 0.7476
Se2 Se 0.7735 0.2394 0.7476
Se3 Se 0.2394 0.2394 0.7476
Se4 Se 0.2462 0.2462 0.2613
Se5 Se 0.7625 0.2187 0.2563
Se6 Se 0.2187 0.7625 0.2563
Se7 Se 0.7625 0.7625 0.2563
Se8 Se 0.7572 0.7572 0.7283
```

Magnetization (μB/cell): 0.000
Energy (eV/atom): -3.614
E_form (uncorrected) (eV/f.u.): -7.321

2.
The following is a DFT calculation (GGA-PBE) of a relaxed structure of Mg2InAgSe4.

```
data_Mg2InAgSe4
_space_group_name_H-M_alt 'P 1'
_space_group_IT_number 1
_space_group_name_Hall 'P 1'
_cell_length_a 6.1194
_cell_length_b 6.1194
_cell_length_c 7.3627
_cell_angle_alpha 114.56
_cell_angle_beta 114.56
_cell_angle_gamma 90.00
loop_
_atom_site_label
_atom_site_type_symbol
_atom_site_fract_x
_atom_site_fract_y
_atom_site_fract_z
Mg1 Mg 0.7500 0.2501 0.5001
Mg2 Mg 0.2501 0.7500 0.5001
In1 In 0.5002 0.5002 0.0004
Ag1 Ag 0.9998 0.9998 0.9996
Se1 Se 0.6170 0.6170 0.7418
Se2 Se 0.3828 0.8756 0.2584
Se3 Se 0.8756 0.3828 0.2584
Se4 Se 0.1248 0.1248 0.7418
```

Magnetization (μB/cell): 0.000
Energy (eV/atom): -3.673
E_form (uncorrected) (eV/f.u.): -6.668

3.
The following is a DFT calculation (GGA-PBE) of a relaxed structure of SmMg2In2Ag2.

```
data_SmMg2In2Ag2
_space_group_name_H-M_alt 'P 1'
_space_group_IT_number 1
_space_group_name_Hall 'P 1'
_cell_length_a 4.7180
_cell_length_b 4.7180
_cell_length_c 8.7234
_cell_angle_alpha 74.31
_cell_angle_beta 74.31
_cell_angle_gamma 60.00
loop_
_atom_site_label
_atom_site_type_symbol
_atom_site_fract_x
_atom_site_fract_y
_atom_site_fract_z
Sm1 Sm 0.0000 0.0000 0.0000
Mg1 Mg 0.1376 0.1376 0.5873
Mg2 Mg 0.8624 0.8624 0.4127
In1 In 0.7367 0.7367 0.7898
In2 In 0.2633 0.2633 0.2102
Ag1 Ag 0.5621 0.5621 0.3136
Ag2 Ag 0.4379 0.4379 0.6864
```

Magnetization (μB/cell): 0.000
Energy (eV/atom): -2.973
ΔE_f (meV per atom): -246